No. 1
Computed, not measured: an optimized crystal structure of NiC3 at the PBE-GGA level of DFT.

```
data_NiC3
_cell_length_a 2.5180
_cell_length_b 2.5180
_cell_length_c 5.2406
_cell_angle_alpha 90.00
_cell_angle_beta 90.00
_cell_angle_gamma 120.00
_space_group_name_H-M_alt 'P -6 m 2'
_space_group_IT_number 187
_space_group_name_Hall 'P -6 2'
loop_
_atom_site_label
_atom_site_fract_x
_atom_site_fract_y
_atom_site_fract_z
_atom_site_occupancy
Ni1 0.0000 0.0000 0.0000 1
C1 0.0000 0.0000 0.5000 1
C2 0.3333 0.6667 0.3176 1
```

Energy, eV/atom: -6.286
ΔH_f (0 K), eV per atom: 2.077
Energy above the lowest structure with this stoichiometry, meV/atom: 1424
Total magnetic moment, μB/f.u.: 0.0
D(E_F), states/eV/cell: 2.041

---

No. 2
Computed, not measured: an optimized crystal structure of Ni2C at the PBE-GGA level of DFT.

```
data_Ni2C
_cell_length_a 2.8750
_cell_length_b 2.8750
_cell_length_c 12.1068
_cell_angle_alpha 90.00
_cell_angle_beta 90.00
_cell_angle_gamma 120.00
_space_group_name_H-M_alt 'R -3 m'
_space_group_IT_number 166
_space_group_name_Hall '-R 3 2"'
loop_
_atom_site_label
_atom_site_fract_x
_atom_site_fract_y
_atom_site_fract_z
_atom_site_occupancy
Ni1 0.0000 0.0000 0.2480 1
C1 0.0000 0.0000 0.5000 1
```

Energy, eV/atom: -6.566
ΔH_f (0 K), eV per atom: 0.363
Energy above the lowest structure with this stoichiometry, meV/atom: 184
Total magnetic moment, μB/f.u.: 0.0
D(E_F), states/eV/cell: 5.595

---

No. 3
Computed, not measured: an optimized crystal structure of NiC4 at the PBE-GGA level of DFT.

```
data_NiC4
_cell_length_a 3.420
_cell_length_b 3.420
_cell_length_c 5.716
_cell_angle_alpha 90.00
_cell_angle_beta 90.00
_cell_angle_gamma 90.00
_space_group_name_H-M_alt 'I 4/m m m'
_space_group_IT_number 139
_space_group_name_Hall '-I 4 2'
loop_
_atom_site_label
_atom_site_fract_x
_atom_site_fract_y
_atom_site_fract_z
_atom_site_occupancy
Ni1 0.000 0.000 0.000 1
C1 0.000 0.000 0.363 1
C2 0.000 0.500 0.250 1
```

Energy, eV/atom: -6.298
ΔH_f (0 K), eV per atom: 2.237
Energy above the lowest structure with this stoichiometry, meV/atom: 1393
Total magnetic moment, μB/f.u.: 0.0
D(E_F), states/eV/cell: 4.709

---

No. 4
Computed, not measured: an optimized crystal structure of Ni5C at the PBE-GGA level of DFT.

```
data_Ni5C
_cell_length_a 8.132
_cell_length_b 2.558
_cell_length_c 5.954
_cell_angle_alpha 90.00
_cell_angle_beta 103.72
_cell_angle_gamma 90.00
_space_group_name_H-M_alt 'C 1 m 1'
_space_group_IT_number 8
loop_
_space_group_symop_operation_xyz
'x,y,z'
'x,-y,z'
'x+1/2,y+1/2,z'
'x+1/2,-y+1/2,z'
loop_
_atom_site_label
_atom_site_fract_x
_atom_site_fract_y
_atom_site_fract_z
_atom_site_occupancy
Ni1 0.000 0.000 0.000 1
Ni2 0.081 0.000 0.433 1
Ni3 0.196 0.500 0.805 1
Ni4 0.303 0.000 0.203 1
Ni5 0.391 0.000 0.636 1
C1 0.128 0.500 0.212 1
```

Energy, eV/atom: -6.183
ΔH_f (0 K), eV per atom: 0.172
Energy above the lowest structure with this stoichiometry, meV/atom: 0
Total magnetic moment, μB/f.u.: 0.8
D(E_F), states/eV/cell: 13.731

---

No. 5
Computed, not measured: an optimized crystal structure of NiC3 at the PBE-GGA level of DFT.

```
data_NiC3
_cell_length_a 3.471
_cell_length_b 6.319
_cell_length_c 3.107
_cell_angle_alpha 90.00
_cell_angle_beta 90.00
_cell_angle_gamma 90.00
_space_group_name_H-M_alt 'C m m m'
_space_group_IT_number 65
_space_group_name_Hall '-C 2 2'
loop_
_atom_site_label
_atom_site_fract_x
_atom_site_fract_y
_atom_site_fract_z
_atom_site_occupancy
Ni1 0.000 0.000 0.000 1
C1 0.000 0.500 0.000 1
C2 0.250 0.250 0.500 1
```

Energy, eV/atom: -5.744
ΔH_f (0 K), eV per atom: 2.620
Energy above the lowest structure with this stoichiometry, meV/atom: 1967
Total magnetic moment, μB/f.u.: 0.0
D(E_F), states/eV/cell: 6.273

---

No. 6
Computed, not measured: an optimized crystal structure of Ni5C at the PBE-GGA level of DFT.

```
data_Ni5C
_cell_length_a 2.519
_cell_length_b 12.461
_cell_length_c 3.999
_cell_angle_alpha 90.00
_cell_angle_beta 90.00
_cell_angle_gamma 90.00
_space_group_name_H-M_alt 'C m m m'
_space_group_IT_number 65
_space_group_name_Hall '-C 2 2'
loop_
_atom_site_label
_atom_site_fract_x
_atom_site_fract_y
_atom_site_fract_z
_atom_site_occupancy
Ni1 0.000 0.000 0.000 1
Ni2 0.000 0.116 0.500 1
Ni3 0.000 0.328 0.000 1
C1 0.000 0.500 0.500 1
```

Energy, eV/atom: -5.950
ΔH_f (0 K), eV per atom: 0.405
Energy above the lowest structure with this stoichiometry, meV/atom: 234
Total magnetic moment, μB/f.u.: 1.2
D(E_F), states/eV/cell: 15.048

---

No. 7
Computed, not measured: an optimized crystal structure of NiC3 at the PBE-GGA level of DFT.

```
data_NiC3
_cell_length_a 3.896
_cell_length_b 3.896
_cell_length_c 3.896
_cell_angle_alpha 90.00
_cell_angle_beta 90.00
_cell_angle_gamma 90.00
_space_group_name_H-M_alt 'I m -3 m'
_space_group_IT_number 229
_space_group_name_Hall '-I 4 2 3'
loop_
_atom_site_label
_atom_site_fract_x
_atom_site_fract_y
_atom_site_fract_z
_atom_site_occupancy
Ni1 0.000 0.000 0.000 1
C1 0.000 0.000 0.500 1
```

Energy, eV/atom: -6.121
ΔH_f (0 K), eV per atom: 2.242
Energy above the lowest structure with this stoichiometry, meV/atom: 1590
Total magnetic moment, μB/f.u.: 0.0
D(E_F), states/eV/cell: 5.349

---

No. 8
Computed, not measured: an optimized crystal structure of Ni2C3 at the PBE-GGA level of DFT.

```
data_Ni2C3
_cell_length_a 2.5488
_cell_length_b 2.5488
_cell_length_c 28.2042
_cell_angle_alpha 90.00
_cell_angle_beta 90.00
_cell_angle_gamma 120.00
_space_group_name_H-M_alt 'R -3 m'
_space_group_IT_number 166
_space_group_name_Hall '-R 3 2"'
loop_
_atom_site_label
_atom_site_fract_x
_atom_site_fract_y
_atom_site_fract_z
_atom_site_occupancy
Ni1 0.0000 0.0000 0.1239 1
C1 0.0000 0.0000 0.3333 1
C2 0.0000 0.0000 0.5000 1
```

Energy, eV/atom: -7.289
ΔH_f (0 K), eV per atom: 0.558
Energy above the lowest structure with this stoichiometry, meV/atom: 17
Total magnetic moment, μB/f.u.: 0.0
D(E_F), states/eV/cell: 14.709

---

No. 9
Computed, not measured: an optimized crystal structure of NiC3 at the PBE-GGA level of DFT.

```
data_NiC3
_cell_length_a 4.316
_cell_length_b 14.517
_cell_length_c 2.526
_cell_angle_alpha 90.00
_cell_angle_beta 90.00
_cell_angle_gamma 90.00
_space_group_name_H-M_alt 'C m c m'
_space_group_IT_number 63
_space_group_name_Hall '-C 2c 2'
loop_
_atom_site_label
_atom_site_fract_x
_atom_site_fract_y
_atom_site_fract_z
_atom_site_occupancy
Ni1 0.000 0.136 0.250 1
C1 0.000 0.312 0.750 1
C2 0.157 0.378 0.250 1
```

Energy, eV/atom: -6.662
ΔH_f (0 K), eV per atom: 1.701
Energy above the lowest structure with this stoichiometry, meV/atom: 1049
Total magnetic moment, μB/f.u.: 0.0
D(E_F), states/eV/cell: 5.260

---

No. 10
Computed, not measured: an optimized crystal structure of Ni4C5 at the PBE-GGA level of DFT.

```
data_Ni4C5
_cell_length_a 5.3516
_cell_length_b 5.3516
_cell_length_c 6.6638
_cell_angle_alpha 90.00
_cell_angle_beta 90.00
_cell_angle_gamma 120.00
_space_group_name_H-M_alt 'P 63/m c m'
_space_group_IT_number 193
_space_group_name_Hall '-P 6c 2'
loop_
_atom_site_label
_atom_site_fract_x
_atom_site_fract_y
_atom_site_fract_z
_atom_site_occupancy
Ni1 0.0000 0.0000 0.0000 1
Ni2 0.0000 0.4909 0.2500 1
C1 0.0000 0.1674 0.7500 1
C2 0.3333 0.6667 0.0000 1
```

Energy, eV/atom: -6.220
ΔH_f (0 K), eV per atom: 1.474
Energy above the lowest structure with this stoichiometry, meV/atom: 482
Total magnetic moment, μB/f.u.: 0.0
D(E_F), states/eV/cell: 13.096

---

No. 11
Computed, not measured: an optimized crystal structure of Ni4C5 at the PBE-GGA level of DFT.

```
data_Ni4C5
_cell_length_a 8.474
_cell_length_b 8.474
_cell_length_c 2.486
_cell_angle_alpha 90.00
_cell_angle_beta 90.00
_cell_angle_gamma 90.00
_space_group_name_H-M_alt 'I 4/m m m'
_space_group_IT_number 139
_space_group_name_Hall '-I 4 2'
loop_
_atom_site_label
_atom_site_fract_x
_atom_site_fract_y
_atom_site_fract_z
_atom_site_occupancy
Ni1 0.000 0.218 0.000 1
C1 0.000 0.000 0.000 1
C2 0.219 0.219 0.500 1
```

Energy, eV/atom: -6.702
ΔH_f (0 K), eV per atom: 0.992
Energy above the lowest structure with this stoichiometry, meV/atom: 0
Total magnetic moment, μB/f.u.: 0.0
D(E_F), states/eV/cell: 10.591

---

No. 12
Computed, not measured: an optimized crystal structure of Ni5C at the PBE-GGA level of DFT.

```
data_Ni5C
_cell_length_a 3.733
_cell_length_b 3.747
_cell_length_c 9.442
_cell_angle_alpha 90.00
_cell_angle_beta 90.00
_cell_angle_gamma 90.00
_space_group_name_H-M_alt 'A m m 2'
_space_group_IT_number 38
loop_
_space_group_symop_operation_xyz
'x,y,z'
'-x,-y,z'
'-x,y,z'
'x,-y,z'
'x,y+1/2,z+1/2'
'-x,-y+1/2,z+1/2'
'-x,y+1/2,z+1/2'
'x,-y+1/2,z+1/2'
loop_
_atom_site_label
_atom_site_fract_x
_atom_site_fract_y
_atom_site_fract_z
_atom_site_occupancy
Ni1 0.000 0.000 0.000 1
Ni2 0.000 0.000 0.310 1
Ni3 0.500 0.000 0.163 1
Ni4 0.500 0.000 0.497 1
Ni5 0.500 0.000 0.809 1
C1 0.000 0.000 0.506 1
```

Energy, eV/atom: -5.966
ΔH_f (0 K), eV per atom: 0.389
Energy above the lowest structure with this stoichiometry, meV/atom: 217
Total magnetic moment, μB/f.u.: 1.8
D(E_F), states/eV/cell: 13.097